No. 1
Material: LaZr2Ta2
Method: DFT, PBE-GGA
State: optimized geometry

**Energy of formation from the pure elements**: 1.656 eV per atom
**Crystal system**: tetragonal
**Electronic total energy**: -0.2752 hartree per atom
**Energy above the lowest structure with this stoichiometry**: 1315 meV/atom

The structure in POSCAR format:
```
LaZr2Ta2
1.0
-3.553 3.247 -1.225
-1.856 -3.259 -3.256
-2.979 -1.901 3.601
Ta Zr La
2 2 1
direct
0.500 0.000 0.000
0.000 0.500 0.000
0.500 0.500 0.500
0.000 0.000 0.500
0.000 0.000 0.000
```

---

No. 2
Material: BaPuP2O8
Method: DFT, PBE-GGA
State: optimized geometry

**Energy relative to the elements, uncorrected**: -2667 meV per atom
**Crystal system**: trigonal
**Electronic total energy**: -0.3024 hartree per atom

The structure in POSCAR format:
```
BaPuP2O8
1.0
5.100 0.000 0.000
2.550 4.417 0.000
2.550 1.472 8.062
O P Ba Pu
8 2 1 1
direct
0.074 0.746 0.677
0.502 0.074 0.677
0.498 0.254 0.323
0.689 0.689 0.933
0.926 0.498 0.323
0.311 0.311 0.067
0.746 0.502 0.677
0.254 0.926 0.323
0.752 0.752 0.744
0.248 0.248 0.256
0.000 0.000 0.000
0.500 0.500 0.500
```

---

No. 3
Material: SrY2P
Method: DFT, PBE-GGA
State: optimized geometry

**Energy of formation from the pure elements**: -0.478 eV per atom
**Crystal system**: orthorhombic
**Electronic total energy**: -0.2015 hartree per atom

The structure in POSCAR format:
```
SrY2P
1.0
3.014 -4.504 7.053
0.580 0.172 8.874
-4.085 0.574 -7.880
Sr P Y
1 1 2
direct
0.675 0.175 0.500
0.486 0.486 0.000
0.341 0.841 0.500
0.998 0.998 0.000
```

---

No. 4
Material: TaMoIN2
Method: DFT, PBE-GGA
State: optimized geometry

**Energy relative to the elements, uncorrected**: 1346 meV per atom
**Crystal system**: tetragonal
**Electronic total energy**: -0.2510 hartree per atom
**Energy above the lowest structure with this stoichiometry**: 395 meV/atom

The structure in POSCAR format:
```
TaMoIN2
1.0
3.994 0.000 0.000
0.000 3.994 0.000
0.000 0.000 5.568
N Mo I Ta
2 1 1 1
direct
0.000 0.500 0.000
0.500 0.000 0.000
0.000 0.000 0.000
0.000 0.000 0.500
0.500 0.500 0.500
```

---

No. 5
Material: TlCdGaSb
Method: DFT, PBE-GGA
State: optimized geometry

**Energy relative to the elements, uncorrected**: 76 meV per atom
**Crystal system**: cubic
**Electronic total energy**: -0.0930 hartree per atom

The structure in POSCAR format:
```
TlCdGaSb
1.0
-2.229 0.880 4.703
-5.188 0.915 0.332
-3.189 -3.627 2.130
Ga Cd Sb Tl
1 1 1 1
direct
0.500 0.500 0.500
0.000 0.000 0.000
0.250 0.250 0.250
0.750 0.750 0.750
```

---

No. 6
Material: CuSeIN2
Method: DFT, PBE-GGA
State: optimized geometry

**Energy relative to the elements, uncorrected**: 1578 meV per atom
**Crystal system**: tetragonal
**Electronic total energy**: -0.1315 hartree per atom
**Energy above the lowest structure with this stoichiometry**: 128 meV/atom

The structure in POSCAR format:
```
CuSeIN2
1.0
-0.350 -3.468 -1.918
2.096 1.472 -3.045
5.136 -1.951 2.591
N Cu Se I
2 1 1 1
direct
0.500 0.000 0.000
0.000 0.500 0.000
0.000 0.000 0.000
0.000 0.000 0.500
0.500 0.500 0.500
```

---

No. 7
Material: CaYbIn2
Method: DFT, PBE-GGA
State: optimized geometry

**Energy of formation from the pure elements**: -0.480 eV per atom
**Crystal system**: cubic
**Electronic total energy**: -0.1004 hartree per atom

The structure in POSCAR format:
```
CaYbIn2
1.0
5.421 0.000 0.000
2.711 4.695 0.000
2.711 1.565 4.426
Yb In Ca
1 2 1
direct
0.250 0.250 0.250
0.500 0.500 0.500
0.000 0.000 0.000
0.750 0.750 0.750
```

---

No. 8
Material: Zn4CuRh2
Method: DFT, PBE-GGA
State: optimized geometry

**Energy of formation from the pure elements**: -0.096 eV per atom
**Crystal system**: monoclinic
**Electronic total energy**: -0.1290 hartree per atom

The structure in POSCAR format:
```
Zn4CuRh2
1.0
7.901 0.000 0.000
0.000 5.022 -1.405
0.000 0.436 5.005
Rh Zn Cu
4 8 2
direct
0.500 0.909 0.726
0.000 0.409 0.726
0.000 0.591 0.274
0.500 0.091 0.274
0.317 0.500 0.501
0.683 0.500 0.499
0.250 0.250 0.001
0.750 0.750 0.999
0.750 0.250 0.999
0.817 0.000 0.499
0.183 0.000 0.501
0.250 0.750 0.001
0.000 0.000 0.000
0.500 0.500 0.000
```

---

No. 9
Material: FeHgSb2
Method: DFT, PBE-GGA
State: optimized geometry

**Energy relative to the elements, uncorrected**: 526 meV per atom
**Crystal system**: tetragonal
**Electronic total energy**: -0.1369 hartree per atom

The structure in POSCAR format:
```
FeHgSb2
1.0
-0.612 3.848 -0.395
-2.141 -0.772 -4.202
-4.207 -0.441 2.224
Sb Fe Hg
2 1 1
direct
0.000 0.000 0.000
0.000 0.500 0.500
0.500 0.500 0.000
0.500 0.000 0.500
```

---

No. 10
Material: LiOs2WC
Method: DFT, PBE-GGA
State: optimized geometry

**Energy of formation from the pure elements**: 3.133 eV per atom
**Crystal system**: tetragonal
**Electronic total energy**: -0.2270 hartree per atom

The structure in POSCAR format:
```
LiOs2WC
1.0
-1.264 -3.963 2.125
4.364 -1.775 -0.714
1.386 1.757 4.101
W Li C Os
1 1 1 2
direct
0.000 0.000 0.000
0.000 0.500 0.000
0.500 0.500 0.500
0.000 0.000 0.500
0.500 0.000 0.000
```

---

No. 11
Material: Tb7Tm12Bi
Method: DFT, PBE-GGA
State: optimized geometry

**Energy of formation from the pure elements**: 0.024 eV per atom
**Crystal system**: triclinic
**Electronic total energy**: -0.1644 hartree per atom

The structure in POSCAR format:
```
Tb7Tm12Bi
1.0
8.505 2.931 1.068
-1.773 9.242 -2.322
2.814 0.815 7.762
Tb Tm Bi
7 12 1
direct
0.152 0.345 0.942
0.500 0.500 0.500
0.709 0.908 0.868
0.437 0.792 0.243
0.848 0.655 0.058
0.563 0.208 0.757
0.291 0.092 0.132
0.128 0.735 0.617
0.872 0.265 0.383
0.880 0.930 0.406
0.771 0.300 0.003
0.082 0.403 0.602
0.352 0.445 0.186
0.918 0.597 0.398
0.648 0.555 0.814
0.459 0.876 0.652
0.120 0.070 0.594
0.229 0.700 0.997
0.541 0.124 0.348
0.000 0.000 0.000
```

---

No. 12
Material: CoSn2Bi
Method: DFT, PBE-GGA
State: optimized geometry

**Energy of formation from the pure elements**: 0.126 eV per atom
**Crystal system**: trigonal
**Electronic total energy**: -0.1699 hartree per atom

The structure in POSCAR format:
```
CoSn2Bi
1.0
3.430 0.000 0.000
1.715 2.970 0.000
1.715 0.990 9.698
Co Sn Bi
1 2 1
direct
0.500 0.500 0.500
0.890 0.890 0.329
0.110 0.110 0.671
0.000 0.000 0.000
```

---

| no. | theoretical density (Mg/m³) |
| --- | --- |
| 1 | 9.12 |
| 2 | 5.22 |
| 3 | 3.77 |
| 4 | 8.07 |
| 5 | 8.12 |
| 6 | 5.14 |
| 7 | 6.53 |
| 8 | 8.67 |
| 9 | 9.28 |
| 10 | 9.31 |
| 11 | 9.00 |
| 12 | 8.49 |